Entry 1:
Below is crystalline SrPmCuPb at its relaxed geometry, with properties calculated at the PBE level.

The density of states at the Fermi level is 1.571 states/eV/cell. As for the formation enthalpy at 0 K: -6.3 kcal/mol of atoms.

Lattice parameters (Å, degrees): 5.466 5.466 5.466 60.00 60.00 60.00
Fractional coordinates of all 4 atoms:
Sr1 0.000 0.000 0.000
Pm1 0.500 0.500 0.500
Cu1 0.250 0.250 0.250
Pb1 0.750 0.750 0.750

Entry 2:
Below is crystalline PmYCuPb at its relaxed geometry, with properties calculated at the PBE level.

The density of states at the Fermi level is 4.152 states/eV/cell. As for the formation enthalpy at 0 K: -7.3 kcal/mol of atoms.

Lattice parameters (Å, degrees): 5.274 5.274 5.274 60.00 60.00 60.00
Fractional coordinates of all 4 atoms:
Pm1 0.000 0.000 0.000
Y1 0.500 0.500 0.500
Cu1 0.250 0.250 0.250
Pb1 0.750 0.750 0.750

Entry 3:
Below is crystalline PmZnCuPb at its relaxed geometry, with properties calculated at the PBE level.

The density of states at the Fermi level is 1.825 states/eV/cell. As for the formation enthalpy at 0 K: -4.2 kcal/mol of atoms.

Lattice parameters (Å, degrees): 4.977 4.977 4.977 60.00 60.00 60.00
Fractional coordinates of all 4 atoms:
Pm1 0.000 0.000 0.000
Zn1 0.750 0.750 0.750
Cu1 0.250 0.250 0.250
Pb1 0.500 0.500 0.500

Entry 4:
Below is crystalline Pr5Cu2Pb5 at its relaxed geometry, with properties calculated at the PBE level.

The density of states at the Fermi level is 7.422 states/eV/cell. As for the formation enthalpy at 0 K: -10.3 kcal/mol of atoms.

Lattice parameters (Å, degrees): 8.677 8.677 11.585 128.03 128.03 31.16
Fractional coordinates of all 12 atoms:
Pr1 0.000 0.000 0.000
Pr2 0.111 0.111 0.419
Pr3 0.194 0.194 0.826
Pr4 0.806 0.806 0.174
Pr5 0.889 0.889 0.581
Cu1 0.360 0.360 0.759
Cu2 0.640 0.640 0.241
Pb1 0.250 0.250 0.314
Pb2 0.439 0.439 0.143
Pb3 0.500 0.500 0.500
Pb4 0.561 0.561 0.857
Pb5 0.750 0.750 0.686

Entry 5:
Below is crystalline PrCuPb2 at its relaxed geometry, with properties calculated at the PBE level.

The density of states at the Fermi level is 3.320 states/eV/cell. As for the formation enthalpy at 0 K: 4.6 kcal/mol of atoms. For the excess energy over the best structure of this formula in the dataset, the calculation gives 0.400 eV/atom.

Lattice parameters (Å, degrees): 10.652 10.652 10.652 19.30 19.30 19.30
Fractional coordinates of all 4 atoms:
Pr1 0.000 0.000 0.000
Cu1 0.500 0.500 0.500
Pb1 0.104 0.104 0.104
Pb2 0.896 0.896 0.896

Entry 6:
Below is crystalline PrCuPb at its relaxed geometry, with properties calculated at the PBE level.

The density of states at the Fermi level is 2.404 states/eV/cell. As for the formation enthalpy at 0 K: -7.6 kcal/mol of atoms.

Lattice parameters (Å, degrees): 4.678 4.678 3.981 90.00 90.00 120.00
Fractional coordinates of all 3 atoms:
Pr1 0.000 0.000 0.000
Cu1 0.333 0.667 0.500
Pb1 0.667 0.333 0.500

Entry 7:
Below is crystalline PrCuPb at its relaxed geometry, with properties calculated at the PBE level.

The density of states at the Fermi level is 2.088 states/eV/cell. As for the formation enthalpy at 0 K: -3.5 kcal/mol of atoms.

Lattice parameters (Å, degrees): 6.473 6.473 6.473 148.35 148.35 45.37
Fractional coordinates of all 3 atoms:
Pr1 0.000 0.000 0.000
Cu1 0.652 0.652 0.000
Pb1 0.289 0.289 0.000

Entry 8:
Below is crystalline PrCuPb2 at its relaxed geometry, with properties calculated at the PBE level.

The density of states at the Fermi level is 2.114 states/eV/cell. As for the formation enthalpy at 0 K: -4.7 kcal/mol of atoms. For the excess energy over the best structure of this formula in the dataset, the calculation gives 0.000 eV/atom.

Lattice parameters (Å, degrees): 4.753 4.753 4.620 90.00 90.00 90.00
Fractional coordinates of all 4 atoms:
Pr1 0.000 0.000 0.000
Cu1 0.500 0.500 0.000
Pb1 0.000 0.500 0.500
Pb2 0.500 0.000 0.500

Entry 9:
Below is crystalline Pr8CuPb2 at its relaxed geometry, with properties calculated at the PBE level.

The density of states at the Fermi level is 10.189 states/eV/cell. As for the formation enthalpy at 0 K: -5.1 kcal/mol of atoms.

Lattice parameters (Å, degrees): 10.342 10.342 7.027 104.88 104.88 29.32
Fractional coordinates of all 11 atoms:
Pr1 0.013 0.013 0.282
Pr2 0.214 0.214 0.819
Pr3 0.352 0.352 0.500
Pr4 0.410 0.410 0.028
Pr5 0.590 0.590 0.972
Pr6 0.648 0.648 0.500
Pr7 0.786 0.786 0.181
Pr8 0.987 0.987 0.718
Cu1 0.500 0.500 0.500
Pb1 0.180 0.180 0.256
Pb2 0.820 0.820 0.744

Entry 10:
Below is crystalline PrCuPtPb at its relaxed geometry, with properties calculated at the PBE level.

The density of states at the Fermi level is 3.687 states/eV/cell. As for the formation enthalpy at 0 K: -10.2 kcal/mol of atoms.

Lattice parameters (Å, degrees): 4.980 4.980 4.980 60.00 60.00 60.00
Fractional coordinates of all 4 atoms:
Pr1 0.000 0.000 0.000
Cu1 0.750 0.750 0.750
Pt1 0.250 0.250 0.250
Pb1 0.500 0.500 0.500

Entry 11:
Below is crystalline PrPuCuPb at its relaxed geometry, with properties calculated at the PBE level.

The density of states at the Fermi level is 9.658 states/eV/cell. As for the formation enthalpy at 0 K: -2.3 kcal/mol of atoms.

Lattice parameters (Å, degrees): 5.344 5.344 5.344 60.00 60.00 60.00
Fractional coordinates of all 4 atoms:
Pr1 0.000 0.000 0.000
Pu1 0.500 0.500 0.500
Cu1 0.750 0.750 0.750
Pb1 0.250 0.250 0.250

Entry 12:
Below is crystalline PrCuRhPb at its relaxed geometry, with properties calculated at the PBE level.

The density of states at the Fermi level is 3.024 states/eV/cell. As for the formation enthalpy at 0 K: -6.0 kcal/mol of atoms.

Lattice parameters (Å, degrees): 4.910 4.910 4.910 60.00 60.00 60.00
Fractional coordinates of all 4 atoms:
Pr1 0.000 0.000 0.000
Cu1 0.750 0.750 0.750
Rh1 0.250 0.250 0.250
Pb1 0.500 0.500 0.500

Entry 13:
Below is crystalline PrSmCuPb at its relaxed geometry, with properties calculated at the PBE level.

The density of states at the Fermi level is 4.354 states/eV/cell. As for the formation enthalpy at 0 K: -7.0 kcal/mol of atoms.

Lattice parameters (Å, degrees): 5.359 5.359 5.359 60.00 60.00 60.00
Fractional coordinates of all 4 atoms:
Pr1 0.000 0.000 0.000
Sm1 0.500 0.500 0.500
Cu1 0.250 0.250 0.250
Pb1 0.750 0.750 0.750

Entry 14:
Below is crystalline SrPrCuPb at its relaxed geometry, with properties calculated at the PBE level.

The density of states at the Fermi level is 1.561 states/eV/cell. As for the formation enthalpy at 0 K: -6.4 kcal/mol of atoms.

Lattice parameters (Å, degrees): 5.507 5.507 5.507 60.00 60.00 60.00
Fractional coordinates of all 4 atoms:
Sr1 0.000 0.000 0.000
Pr1 0.500 0.500 0.500
Cu1 0.750 0.750 0.750
Pb1 0.250 0.250 0.250

Entry 15:
Below is crystalline PrTmCuPb at its relaxed geometry, with properties calculated at the PBE level.

The density of states at the Fermi level is 4.262 states/eV/cell. As for the formation enthalpy at 0 K: -6.3 kcal/mol of atoms.

Lattice parameters (Å, degrees): 5.279 5.279 5.279 60.00 60.00 60.00
Fractional coordinates of all 4 atoms:
Pr1 0.000 0.000 0.000
Tm1 0.500 0.500 0.500
Cu1 0.750 0.750 0.750
Pb1 0.250 0.250 0.250

Entry 16:
Below is crystalline PrYCuPb at its relaxed geometry, with properties calculated at the PBE level.

The density of states at the Fermi level is 4.363 states/eV/cell. As for the formation enthalpy at 0 K: -7.1 kcal/mol of atoms.

Lattice parameters (Å, degrees): 5.315 5.315 5.315 60.00 60.00 60.00
Fractional coordinates of all 4 atoms:
Pr1 0.000 0.000 0.000
Y1 0.500 0.500 0.500
Cu1 0.750 0.750 0.750
Pb1 0.250 0.250 0.250

Entry 17:
Below is crystalline CuPtPb2 at its relaxed geometry, with properties calculated at the PBE level.

The density of states at the Fermi level is 1.744 states/eV/cell. As for the formation enthalpy at 0 K: -0.5 kcal/mol of atoms. For the excess energy over the best structure of this formula in the dataset, the calculation gives 0.018 eV/atom.

Lattice parameters (Å, degrees): 3.380 3.380 7.927 90.00 90.00 90.00
Fractional coordinates of all 4 atoms:
Cu1 0.000 0.000 0.000
Pt1 0.500 0.500 0.851
Pb1 0.000 0.000 0.624
Pb2 0.500 0.500 0.223

Entry 18:
Below is crystalline Cu2Pt2Pb at its relaxed geometry, with properties calculated at the PBE level.

The density of states at the Fermi level is 7.178 states/eV/cell. As for the formation enthalpy at 0 K: -0.6 kcal/mol of atoms. For the excess energy over the best structure of this formula in the dataset, the calculation gives 0.000 eV/atom.

Lattice parameters (Å, degrees): 7.504 7.504 2.962 90.00 90.00 90.00
Fractional coordinates of all 10 atoms:
Cu1 0.160 0.340 0.000
Cu2 0.340 0.840 0.000
Cu3 0.660 0.160 0.000
Cu4 0.840 0.660 0.000
Pt1 0.134 0.634 0.500
Pt2 0.366 0.134 0.500
Pt3 0.634 0.866 0.500
Pt4 0.866 0.366 0.500
Pb1 0.000 0.000 0.500
Pb2 0.500 0.500 0.500

Entry 19:
Below is crystalline CuPtPb2 at its relaxed geometry, with properties calculated at the PBE level.

The density of states at the Fermi level is 1.662 states/eV/cell. As for the formation enthalpy at 0 K: 4.5 kcal/mol of atoms. For the excess energy over the best structure of this formula in the dataset, the calculation gives 0.235 eV/atom.

Lattice parameters (Å, degrees): 5.772 5.772 5.772 137.71 137.71 61.34
Fractional coordinates of all 4 atoms:
Cu1 0.000 0.000 0.000
Pt1 0.750 0.250 0.500
Pb1 0.250 0.750 0.500
Pb2 0.500 0.500 0.000

Entry 20:
Below is crystalline CuPtPb4 at its relaxed geometry, with properties calculated at the PBE level.

The density of states at the Fermi level is 3.991 states/eV/cell. As for the formation enthalpy at 0 K: 0.4 kcal/mol of atoms. For the excess energy over the best structure of this formula in the dataset, the calculation gives 0.000 eV/atom.

Lattice parameters (Å, degrees): 7.877 7.877 7.877 127.84 127.84 76.88
Fractional coordinates of all 12 atoms:
Cu1 0.250 0.250 0.000
Cu2 0.750 0.750 0.000
Pt1 0.000 0.000 0.000
Pt2 0.500 0.500 0.000
Pb1 0.038 0.538 0.835
Pb2 0.203 0.038 0.500
Pb3 0.297 0.797 0.835
Pb4 0.462 0.297 0.500
Pb5 0.538 0.703 0.500
Pb6 0.703 0.203 0.165
Pb7 0.797 0.962 0.500
Pb8 0.962 0.462 0.165